[1]
Material: LaPr4NdEr2
Method: DFT, PBE-GGA
State: relaxed

- magnetic moment (μB per atom) = 0.00
- calculated density (g/cm³) = 7.06
- formation energy (eV/atom) = 0.017
- electronic total energy (eV per atom) = -4.73

The structure in CIF format:
```
data_LaPr4NdEr2
_chemical_formula_sum 'La1 Pr4 Nd1 Er2'
_symmetry_space_group_name_H-M 'P 1 2/m 1'
_symmetry_Int_Tables_number 10
_cell_length_a 6.316
_cell_length_b 3.681
_cell_length_c 12.140
_cell_angle_alpha 90.00
_cell_angle_beta 100.15
_cell_angle_gamma 90.00
loop_
_symmetry_equiv_pos_as_xyz
'x,y,z'
'-x,-y,-z'
'-x,y,-z'
'x,-y,z'
loop_
_atom_site_label
_atom_site_fract_x
_atom_site_fract_y
_atom_site_fract_z
La1 0.000 0.000 0.000
Pr1 0.252 0.000 0.751
Pr2 0.252 0.500 0.254
Nd1 0.000 0.500 0.500
Er1 0.500 0.000 0.500
Er2 0.500 0.500 0.000
```

---

[2]
Material: La2PrNdEr
Method: DFT, PBE-GGA
State: relaxed

- magnetic moment (μB per atom) = 0.00
- calculated density (g/cm³) = 6.80
- formation energy (eV/atom) = 0.034
- electronic total energy (eV per atom) = -4.76

The structure in CIF format:
```
data_La2PrNdEr
_chemical_formula_sum 'La4 Pr2 Nd2 Er2'
_symmetry_space_group_name_H-M 'P 1 21/m 1'
_symmetry_Int_Tables_number 11
_cell_length_a 6.451
_cell_length_b 5.923
_cell_length_c 9.869
_cell_angle_alpha 90.00
_cell_angle_beta 109.01
_cell_angle_gamma 90.00
loop_
_symmetry_equiv_pos_as_xyz
'x,y,z'
'-x,-y,-z'
'-x,y+1/2,-z'
'x,-y+1/2,z'
loop_
_atom_site_label
_atom_site_fract_x
_atom_site_fract_y
_atom_site_fract_z
La1 0.037 0.250 0.401
La2 0.234 0.250 0.804
Pr1 0.429 0.250 0.195
Nd1 0.364 0.750 0.398
Er1 0.161 0.750 0.000
```

---

[3]
Material: LaPrNd5Er2
Method: DFT, PBE-GGA
State: relaxed

- magnetic moment (μB per atom) = 0.00
- calculated density (g/cm³) = 7.02
- formation energy (eV/atom) = 0.146
- electronic total energy (eV per atom) = -4.60

The structure in CIF format:
```
data_LaPrNd5Er2
_chemical_formula_sum 'La4 Pr4 Nd20 Er8'
_symmetry_space_group_name_H-M 'C m c 21'
_symmetry_Int_Tables_number 36
_cell_length_a 5.745
_cell_length_b 20.411
_cell_length_c 10.781
_cell_angle_alpha 90.00
_cell_angle_beta 90.00
_cell_angle_gamma 90.00
loop_
_symmetry_equiv_pos_as_xyz
'x,y,z'
'-x,-y,z+1/2'
'-x,y,z'
'x,-y,z+1/2'
'x+1/2,y+1/2,z'
'-x+1/2,-y+1/2,z+1/2'
'-x+1/2,y+1/2,z'
'x+1/2,-y+1/2,z+1/2'
loop_
_atom_site_label
_atom_site_fract_x
_atom_site_fract_y
_atom_site_fract_z
La1 0.000 0.083 0.000
Pr1 0.000 0.298 0.563
Nd1 0.000 0.023 0.293
Nd2 0.000 0.110 0.580
Nd3 0.000 0.205 0.257
Nd4 0.000 0.218 0.863
Nd5 0.000 0.483 0.579
Er1 0.000 0.383 0.877
Er2 0.000 0.389 0.287
```

---

[4]
Material: La4PrNdEr2
Method: DFT, PBE-GGA
State: relaxed

- magnetic moment (μB per atom) = 0.00
- calculated density (g/cm³) = 7.00
- formation energy (eV/atom) = 0.015
- electronic total energy (eV per atom) = -4.78

The structure in CIF format:
```
data_La4PrNdEr2
_chemical_formula_sum 'La4 Pr1 Nd1 Er2'
_symmetry_space_group_name_H-M 'P 1 2/m 1'
_symmetry_Int_Tables_number 10
_cell_length_a 6.380
_cell_length_b 3.685
_cell_length_c 12.051
_cell_angle_alpha 90.00
_cell_angle_beta 100.17
_cell_angle_gamma 90.00
loop_
_symmetry_equiv_pos_as_xyz
'x,y,z'
'-x,-y,-z'
'-x,y,-z'
'x,-y,z'
loop_
_atom_site_label
_atom_site_fract_x
_atom_site_fract_y
_atom_site_fract_z
La1 0.248 0.000 0.244
La2 0.252 0.500 0.756
Pr1 0.000 0.000 0.500
Nd1 0.500 0.500 0.500
Er1 0.000 0.500 0.000
Er2 0.500 0.000 0.000
```

---

[5]
Material: La2Pr2NdEr2
Method: DFT, PBE-GGA
State: relaxed

- magnetic moment (μB per atom) = 0.00
- calculated density (g/cm³) = 7.10
- formation energy (eV/atom) = 0.022
- electronic total energy (eV per atom) = -4.74

The structure in CIF format:
```
data_La2Pr2NdEr2
_chemical_formula_sum 'La4 Pr4 Nd2 Er4'
_symmetry_space_group_name_H-M 'C 1 2/m 1'
_symmetry_Int_Tables_number 12
_cell_length_a 11.551
_cell_length_b 5.164
_cell_length_c 8.226
_cell_angle_alpha 90.00
_cell_angle_beta 97.99
_cell_angle_gamma 90.00
loop_
_symmetry_equiv_pos_as_xyz
'x,y,z'
'-x,-y,-z'
'-x,y,-z'
'x,-y,z'
'x+1/2,y+1/2,z'
'-x+1/2,-y+1/2,-z'
'-x+1/2,y+1/2,-z'
'x+1/2,-y+1/2,z'
loop_
_atom_site_label
_atom_site_fract_x
_atom_site_fract_y
_atom_site_fract_z
La1 0.142 0.000 0.428
Pr1 0.215 0.500 0.142
Nd1 0.000 0.000 0.000
Er1 0.071 0.500 0.713
```

---

[6]
Material: LaPrNd3Er
Method: DFT, PBE-GGA
State: relaxed

- magnetic moment (μB per atom) = 0.00
- calculated density (g/cm³) = 6.96
- formation energy (eV/atom) = 0.019
- electronic total energy (eV per atom) = -4.74

The structure in CIF format:
```
data_LaPrNd3Er
_chemical_formula_sum 'La2 Pr2 Nd6 Er2'
_symmetry_space_group_name_H-M 'P 1 21/m 1'
_symmetry_Int_Tables_number 11
_cell_length_a 8.185
_cell_length_b 5.212
_cell_length_c 10.375
_cell_angle_alpha 90.00
_cell_angle_beta 108.44
_cell_angle_gamma 90.00
loop_
_symmetry_equiv_pos_as_xyz
'x,y,z'
'-x,-y,-z'
'-x,y+1/2,-z'
'x,-y+1/2,z'
loop_
_atom_site_label
_atom_site_fract_x
_atom_site_fract_y
_atom_site_fract_z
La1 0.167 0.250 0.290
Pr1 0.500 0.250 0.628
Nd1 0.168 0.750 0.544
Nd2 0.171 0.250 0.794
Nd3 0.172 0.750 0.040
Er1 0.497 0.750 0.878
```

---

[7]
Material: LaPrNd6Er2
Method: DFT, PBE-GGA
State: relaxed

- magnetic moment (μB per atom) = 0.00
- calculated density (g/cm³) = 7.01
- formation energy (eV/atom) = 0.110
- electronic total energy (eV per atom) = -4.63

The structure in CIF format:
```
data_LaPrNd6Er2
_chemical_formula_sum 'La4 Pr4 Nd24 Er8'
_symmetry_space_group_name_H-M 'C 1 2/c 1'
_symmetry_Int_Tables_number 15
_cell_length_a 9.408
_cell_length_b 15.313
_cell_length_c 9.812
_cell_angle_alpha 90.00
_cell_angle_beta 97.40
_cell_angle_gamma 90.00
loop_
_symmetry_equiv_pos_as_xyz
'x,y,z'
'-x,-y,-z'
'-x,y,-z+1/2'
'x,-y,z+1/2'
'x+1/2,y+1/2,z'
'-x+1/2,-y+1/2,-z'
'-x+1/2,y+1/2,-z+1/2'
'x+1/2,-y+1/2,z+1/2'
loop_
_atom_site_label
_atom_site_fract_x
_atom_site_fract_y
_atom_site_fract_z
La1 0.000 0.094 0.250
Pr1 0.000 0.466 0.750
Nd1 0.067 0.325 0.443
Nd2 0.095 0.109 0.620
Nd3 0.210 0.273 0.820
Er1 0.246 0.452 0.049
```

---

[8]
Material: LaPrNdEr3
Method: DFT, PBE-GGA
State: relaxed

- magnetic moment (μB per atom) = 0.00
- calculated density (g/cm³) = 7.62
- formation energy (eV/atom) = 0.184
- electronic total energy (eV per atom) = -4.51

The structure in CIF format:
```
data_LaPrNdEr3
_chemical_formula_sum 'La4 Pr4 Nd4 Er12'
_symmetry_space_group_name_H-M 'C 1 2/m 1'
_symmetry_Int_Tables_number 12
_cell_length_a 20.014
_cell_length_b 5.645
_cell_length_c 7.140
_cell_angle_alpha 90.00
_cell_angle_beta 90.15
_cell_angle_gamma 90.00
loop_
_symmetry_equiv_pos_as_xyz
'x,y,z'
'-x,-y,-z'
'-x,y,-z'
'x,-y,z'
'x+1/2,y+1/2,z'
'-x+1/2,-y+1/2,-z'
'-x+1/2,y+1/2,-z'
'x+1/2,-y+1/2,z'
loop_
_atom_site_label
_atom_site_fract_x
_atom_site_fract_y
_atom_site_fract_z
La1 0.147 0.000 0.042
Pr1 0.148 0.000 0.464
Nd1 0.054 0.500 0.255
Er1 0.024 0.000 0.747
Er2 0.163 0.500 0.746
Er3 0.222 0.500 0.247
```

---

> Which value of magnetic moment does entry 7 give?

0.00 μB per atom